a.
The following is a PBE-GGA calculation of a relaxed structure of Zr3Se, from Alexandria.

Computed properties:
M_tot (Bohr magnetons per cell): 0.00

abc: 10.315 10.315 10.315
angles: 156.99 156.99 32.77
Element x y z (fractional)
Zr1 0.500 0.000 0.500
Zr2 0.000 0.500 0.500
Zr3 0.750 0.250 0.500
Zr4 0.250 0.750 0.500
Zr5 0.124 0.124 0.000
Zr6 0.876 0.876 0.000
Se1 0.389 0.389 0.000
Se2 0.611 0.611 0.000

***

b.
The following is a PBE-GGA calculation of a relaxed structure of Zr3Se, from Alexandria.

Computed properties:
M_tot (Bohr magnetons per cell): 0.00

abc: 3.606 3.606 6.449
angles: 90.00 90.00 90.00
Element x y z (fractional)
Se1 0.000 0.000 0.000
Zr1 0.500 0.500 0.235
Zr2 0.000 0.000 0.500
Zr3 0.500 0.500 0.765

***

c.
The following is a PBE-GGA calculation of a relaxed structure of Zr3Se, from Alexandria.

Computed properties:
M_tot (Bohr magnetons per cell): 0.00

abc: 9.027 9.027 9.027
angles: 21.88 21.88 21.88
Element x y z (fractional)
Se1 0.000 0.000 0.000
Zr1 0.740 0.740 0.740
Zr2 0.500 0.500 0.500
Zr3 0.260 0.260 0.260

***

Short version: c is the most stable of them.

***

a.
The following is a PBE-GGA calculation of a relaxed structure of Zr3Se2, from Alexandria.

Computed properties:
M_tot (Bohr magnetons per cell): 0.00

abc: 8.322 7.621 5.591
angles: 76.37 62.87 40.76
Element x y z (fractional)
Zr1 0.490 0.726 0.371
Zr2 0.414 0.371 0.726
Zr3 0.524 0.760 0.836
Zr4 0.879 0.836 0.760
Zr5 0.909 0.091 0.091
Zr6 0.159 0.341 0.341
Se1 0.875 0.226 0.587
Se2 0.312 0.587 0.226
Se3 0.024 0.375 0.938
Se4 0.663 0.938 0.375

***

b.
The following is a PBE-GGA calculation of a relaxed structure of Zr3Se2, from Alexandria.

Computed properties:
M_tot (Bohr magnetons per cell): 0.00

abc: 6.311 6.311 7.482
angles: 65.05 65.05 60.00
Element x y z (fractional)
Se1 0.836 0.836 0.492
Se2 0.336 0.336 0.992
Se3 0.164 0.164 0.508
Se4 0.664 0.664 0.008
Zr1 0.082 0.750 0.750
Zr2 0.750 0.418 0.750
Zr3 0.418 0.082 0.750
Zr4 0.250 0.582 0.250
Zr5 0.582 0.918 0.250
Zr6 0.918 0.250 0.250

***

Short version: a is the most stable of them.

***

a.
The following is a PBE-GGA calculation of a relaxed structure of Zr4Se, from Alexandria.

Computed properties:
M_tot (Bohr magnetons per cell): 0.00

abc: 5.412 5.412 5.412
angles: 109.47 109.47 109.47
Element x y z (fractional)
Zr1 0.000 0.500 0.000
Zr2 0.000 0.000 0.500
Zr3 0.500 0.500 0.500
Zr4 0.500 0.000 0.000
Se1 0.000 0.000 0.000

***

b.
The following is a PBE-GGA calculation of a relaxed structure of Zr4Se, from Alexandria.

Computed properties:
M_tot (Bohr magnetons per cell): 0.00

abc: 5.002 5.002 5.002
angles: 90.00 90.00 90.00
Element x y z (fractional)
Zr1 0.000 0.000 0.000
Zr2 0.500 0.000 0.500
Zr3 0.000 0.500 0.500
Zr4 0.500 0.500 0.000
Se1 0.500 0.500 0.500

***

Short version: b is the most stable of them.